Record 1
## YEr2Bi2 (PBE-GGA)

Data for YEr2Bi2 after structural relaxation.

Calculated values
The formation energy is -0.6043 eV/atom.

Cell and atoms, written as POSCAR:
```
YEr2Bi2
1.0
2.4605 -9.1165 0.0000
2.4605 9.1165 0.0000
0.0000 0.0000 6.6254
Y Er Bi
2 4 4
Direct
0.1160 0.8840 0.5000
0.8840 0.1160 0.0000
0.3185 0.6815 0.3775
0.4865 0.5135 0.7375
0.5135 0.4865 0.2374
0.6815 0.3185 0.8775
0.0677 0.9323 0.9742
0.2907 0.7093 0.8582
0.7093 0.2907 0.3582
0.9323 0.0677 0.4742
```

---

Record 2
## In17GaHg11 (PBE-GGA)

Data for In17GaHg11 after structural relaxation.

Calculated values
The formation energy is 0.0230 eV/atom.

Cell and atoms, written as POSCAR:
```
In17GaHg11
1.0
9.5173 0.0000 0.0000
-2.6688 9.4179 0.0000
-2.6539 -3.7161 8.6609
In Ga Hg
17 1 11
Direct
0.0000 0.0000 0.0000
0.9996 0.6343 0.3735
0.3443 0.2606 0.0456
0.3469 0.6752 0.6283
0.3643 0.0492 0.7410
0.3648 0.3690 0.4185
0.3674 0.4072 0.7768
0.4070 0.7130 0.0850
0.5963 0.0410 0.0476
0.5995 0.6780 0.4135
0.6071 0.2701 0.6403
0.6896 0.3555 0.3496
0.6903 0.9812 0.7274
0.7093 0.0396 0.4102
0.9709 0.2476 0.2673
0.9730 0.9030 0.6229
0.9976 0.6672 0.0378
0.8540 0.8620 0.2308
0.0326 0.2468 0.8040
0.0327 0.4314 0.6086
0.1508 0.0877 0.4581
0.1876 0.4814 0.1725
0.1883 0.7965 0.8487
0.3412 0.0383 0.2182
0.3439 0.8516 0.4106
0.6474 0.5270 0.1095
0.6475 0.7389 0.8966
0.8020 0.3219 0.9736
0.8037 0.6024 0.6919
```

---

Record 3
## ZnSnAu4 (PBE-GGA)

Data for ZnSnAu4 after structural relaxation.

Calculated values
The formation energy is -0.0959 eV/atom. The distance to the lowest polymorph of the same formula is 0.031 eV per formula unit.

Cell and atoms, written as POSCAR:
```
ZnSnAu4
1.0
5.3639 0.0000 0.0000
0.0000 5.6059 0.0000
-2.4347 0.0000 7.6116
Zn Sn Au
2 2 8
Direct
0.2080 0.2500 0.0070
0.7920 0.7500 0.9930
0.3434 0.2500 0.6375
0.6566 0.7500 0.3625
0.1282 0.0000 0.2789
0.1282 0.5000 0.2789
0.3092 0.7500 0.9920
0.3191 0.7500 0.6294
0.6809 0.2500 0.3706
0.6908 0.2500 0.0080
0.8718 0.0000 0.7211
0.8718 0.5000 0.7211
```

---

Record 4
## Zr4PtN (PBE-GGA)

Data for Zr4PtN after structural relaxation.

Calculated values
The value obtained for the formation energy without anion corrections is -768 meV per atom.

Cell and atoms, written as POSCAR:
```
Zr4PtN
1.0
5.9591 0.0000 0.0000
0.0000 6.1540 0.0000
-1.1557 0.0000 6.2691
Zr Pt N
8 2 2
Direct
0.1039 0.1614 0.1947
0.1039 0.3386 0.6947
0.3320 0.6350 0.1082
0.3320 0.8650 0.6082
0.6680 0.1350 0.3918
0.6680 0.3650 0.8918
0.8961 0.6614 0.3053
0.8961 0.8386 0.8053
0.5000 0.0000 0.0000
0.5000 0.5000 0.5000
0.0000 0.0000 0.5000
0.0000 0.5000 0.0000
```

---

Let's list DOS at the Fermi energy in order: 7.67 9.11 3.80 11.41 states/eV/cell.